This record from the Alexandria database describes crystalline CaCd2Te at its relaxed geometry. The functional is PBE.

Cell lengths 4.1220, 4.1220, 6.8528 Å; angles 90.00, 90.00, 90.00 degrees
Atoms (fractional coordinates):
Ca 0.0000 0.0000 0.0000
Cd 0.0000 0.0000 0.4696
Cd 0.5000 0.5000 0.3401
Te 0.5000 0.5000 0.8332

Output
Uncorrected energy: -2.280 eV per atom
ΔE_f (raw): -537 meV/atom
Magnetic moment: 0.0 Bohr magnetons per cell
Density of states at the Fermi level: 0.51 states/eV per cell
Space-group type: No. 99